[1]
Material: LiTbMg
Method: DFT, GGA-PBE
State: relaxed

The space group is Amm2 (No. 38) and the conventional cell measures 16.183, 3.323 and 5.762 Å, with angles of 90.00, 90.00 and 90.00 degrees. The inequivalent atoms are Li at (0.152, 0.000, 0.000), Tb at (0.325, 0.000, 0.668), Mg at (0.000, 0.000, 0.668) and Mg at (0.500, 0.000, 0.001).

Its volume is 309.8 Å³ per cell. The formation energy comes out at 89 meV/atom. For the excess energy over the best structure of this formula in the dataset, the calculation gives 119 meV/atom. Its crystal system is orthorhombic. Its total energy is -2.624 eV/atom.

---

[2]
Material: PmEr2PuS4
Method: DFT, GGA-PBE
State: relaxed

The space group is P2/m (No. 10) and the conventional cell measures 6.802, 3.908 and 6.839 Å, with angles of 90.00, 109.10 and 90.00 degrees. The inequivalent atoms are Pm at (0.000, 0.000, 0.000), Er at (0.000, 0.500, 0.500), Er at (0.500, 0.000, 0.500), Pu at (0.500, 0.500, 0.000), S at (0.249, 0.000, 0.740) and S at (0.257, 0.500, 0.263).

Its volume is 171.8 Å³ per cell. For the uncorrected formation energy, the calculation gives -1.95 eV/atom. Its crystal system is monoclinic. Its total energy is -7.542 eV/atom.